1.
## Si3GeF (PBE-GGA)

Data for Si3GeF after structural relaxation.

Cell: 4.816 4.816 4.816 Å, 90.00 90.00 90.00°
Positions (direct):
1 Si 0.000 0.000 0.500
2 Si 0.000 0.500 0.000
3 Si 0.500 0.000 0.000
4 Ge 0.000 0.000 0.000
5 F 0.500 0.500 0.500

## Properties
magnetic moment = 0.000 μB per formula unit
energy above the lowest structure with this stoichiometry = 359 meV per atom



2.
## SiGeF3 (PBE-GGA)

Data for SiGeF3 after structural relaxation.

Cell: 4.265 4.265 4.265 Å, 90.00 90.00 90.00°
Positions (direct):
1 Si 0.000 0.000 0.000
2 Ge 0.500 0.500 0.500
3 F 0.000 0.000 0.500
4 F 0.000 0.500 0.000
5 F 0.500 0.000 0.000

## Properties
magnetic moment = 1.044 μB per formula unit
energy above the lowest structure with this stoichiometry = 0 meV per atom



3.
## SiGe2F (PBE-GGA)

Data for SiGe2F after structural relaxation.

Cell: 7.936 7.936 7.936 Å, 146.95 146.95 47.43°
Positions (direct):
1 Si 0.000 0.000 0.000
2 Si 0.750 0.250 0.500
3 Ge 0.185 0.625 0.060
4 Ge 0.375 0.435 0.560
5 Ge 0.565 0.125 0.940
6 Ge 0.875 0.815 0.440
7 F 0.250 0.750 0.500
8 F 0.500 0.500 0.000

## Properties
magnetic moment = 0.000 μB per formula unit
energy above the lowest structure with this stoichiometry = 149 meV per atom



4.
## Si4GeF2 (PBE-GGA)

Data for Si4GeF2 after structural relaxation.

Cell: 9.615 9.615 9.615 Å, 152.62 152.62 39.10°
Positions (direct):
1 Si 0.000 0.500 0.500
2 Si 0.240 0.240 0.000
3 Si 0.500 0.000 0.500
4 Si 0.760 0.760 0.000
5 Ge 0.500 0.500 0.000
6 F 0.149 0.149 0.000
7 F 0.851 0.851 0.000

## Properties
magnetic moment = 0.000 μB per formula unit



5.
## SiGe3F (PBE-GGA)

Data for SiGe3F after structural relaxation.

Cell: 4.576 4.576 4.576 Å, 90.00 90.00 90.00°
Positions (direct):
1 Si 0.000 0.000 0.000
2 Ge 0.000 0.500 0.500
3 Ge 0.500 0.000 0.500
4 Ge 0.500 0.500 0.000
5 F 0.500 0.500 0.500

## Properties
magnetic moment = 0.000 μB per formula unit
energy above the lowest structure with this stoichiometry = 0 meV per atom



6.
## SiGe3F (PBE-GGA)

Data for SiGe3F after structural relaxation.

Cell: 4.798 4.798 4.798 Å, 90.00 90.00 90.00°
Positions (direct):
1 Si 0.000 0.000 0.000
2 Ge 0.000 0.000 0.500
3 Ge 0.000 0.500 0.000
4 Ge 0.500 0.000 0.000
5 F 0.500 0.500 0.500

## Properties
magnetic moment = 0.000 μB per formula unit
energy above the lowest structure with this stoichiometry = 116 meV per atom



7.
## SiGe2F (PBE-GGA)

Data for SiGe2F after structural relaxation.

Cell: 4.427 4.427 4.427 Å, 60.00 60.00 60.00°
Positions (direct):
1 Si 0.000 0.000 0.000
2 Ge 0.250 0.250 0.250
3 Ge 0.750 0.750 0.750
4 F 0.500 0.500 0.500

## Properties
magnetic moment = 0.000 μB per formula unit
energy above the lowest structure with this stoichiometry = 0 meV per atom



8.
## SiGeF6 (PBE-GGA)

Data for SiGeF6 after structural relaxation.

Cell: 5.064 5.110 6.082 Å, 109.41 109.53 101.71°
Positions (direct):
1 Si 0.000 0.000 0.000
2 Ge 0.500 0.500 0.000
3 F 0.078 0.073 0.768
4 F 0.216 0.776 0.999
5 F 0.311 0.302 0.232
6 F 0.689 0.698 0.768
7 F 0.784 0.224 0.001
8 F 0.922 0.927 0.232

## Properties
magnetic moment = 0.000 μB per formula unit



9.
## SiGeF3 (PBE-GGA)

Data for SiGeF3 after structural relaxation.

Cell: 4.382 4.382 4.382 Å, 90.00 90.00 90.00°
Positions (direct):
1 Si 0.000 0.000 0.000
2 Ge 0.500 0.500 0.500
3 F 0.000 0.500 0.500
4 F 0.500 0.000 0.500
5 F 0.500 0.500 0.000

## Properties
magnetic moment = 1.027 μB per formula unit
energy above the lowest structure with this stoichiometry = 107 meV per atom



10.
## Si3GeF (PBE-GGA)

Data for Si3GeF after structural relaxation.

Cell: 4.449 4.449 4.449 Å, 90.00 90.00 90.00°
Positions (direct):
1 Si 0.000 0.000 0.500
2 Si 0.000 0.500 0.000
3 Si 0.500 0.000 0.000
4 Ge 0.500 0.500 0.500
5 F 0.000 0.000 0.000

## Properties
magnetic moment = 0.000 μB per formula unit
energy above the lowest structure with this stoichiometry = 0 meV per atom



11.
## SrSiGeF2 (PBE-GGA)

Data for SrSiGeF2 after structural relaxation.

Cell: 4.326 4.326 7.351 Å, 90.00 90.00 90.00°
Positions (direct):
1 Sr 0.000 0.000 0.000
2 Si 0.500 0.500 0.000
3 Ge 0.000 0.000 0.500
4 F 0.000 0.500 0.500
5 F 0.500 0.000 0.500

## Properties
magnetic moment = 2.235 μB per formula unit



12.
## YSi2GeF (PBE-GGA)

Data for YSi2GeF after structural relaxation.

Cell: 4.648 4.648 4.496 Å, 90.00 90.00 90.00°
Positions (direct):
1 Y 0.000 0.000 0.000
2 Si 0.000 0.500 0.500
3 Si 0.500 0.000 0.500
4 Ge 0.500 0.500 0.000
5 F 0.000 0.000 0.500

## Properties
magnetic moment = 0.000 μB per formula unit



Record order is preserved below.
Total energy: -3.71; -4.26; -4.32; -4.25; -3.99; -3.88; -4.47; -5.33; -4.15; -4.07; -3.85; -5.05 eV/atom